## MgCdMo (PBE)

Data for a geometry-optimized MgCdMo structure.

Cell lengths 7.230, 7.230, 7.230 Å; angles 157.49, 157.49, 32.04 degrees
Element x y z (fractional)
Mg  0.000  0.000  0.000
Cd  0.321  0.321  0.000
Mo  0.656  0.656  0.000

Properties
* ΔE_f: 0.85 eV/f.u.
* VASP energy: -12.493 eV per cell
* polymorph energy (0 for the lowest one): 2.1 meV per atom
* mass density: 6.98 g/cm3
* space-group type: I4mm (107)

---

## KSrSe2 (PBE)

Data for a geometry-optimized KSrSe2 structure.

Cell lengths 4.045, 4.045, 7.204 Å; angles 90.00, 90.00, 90.00 degrees
Element x y z (fractional)
K  0.000  0.000  0.000
Sr  0.000  0.000  0.500
Se  0.500  0.500  0.285
Se  0.500  0.500  0.715

Properties
* VASP energy: -14.909 eV per cell
* E_form (uncorrected): -1.29 eV per atom
* mass density: 4.01 g/cm3
* space-group type: P4/mmm (123)

---

## Nd6SbSe2S3 (PBE)

Data for a geometry-optimized Nd6SbSe2S3 structure.

Cell lengths 9.424, 9.424, 8.471 Å; angles 103.62, 103.62, 25.61 degrees
Element x y z (fractional)
Nd  0.003  0.003  0.231
Nd  0.327  0.327  0.430
Nd  0.338  0.338  0.906
Nd  0.662  0.662  0.094
Nd  0.673  0.673  0.570
Nd  0.997  0.997  0.769
Sb  0.500  0.500  0.500
Se  0.169  0.169  0.835
Se  0.831  0.831  0.165
S  0.165  0.165  0.330
S  0.500  0.500  0.000
S  0.835  0.835  0.670

Properties
* VASP energy: -73.852 eV per cell
* E_form (uncorrected): -1.81 eV per atom
* mass density: 6.53 g/cm3
* space-group type: C2/m (12)